A geometry-optimized BaLiSn2Pt structure. Source: the Alexandria database, functional PBE.

a b c (Å): 4.7772 4.7772 6.5772
angles (deg): 111.29 111.29 90.00
Element x y z (fractional)
Sn  0.6335  0.6335  0.2670
Ba  0.0000  0.0000  0.0000
Pt  0.2500  0.7500  0.5000
Sn  0.3665  0.3665  0.7330
Li  0.7500  0.2500  0.5000

Computed properties:
ρ = 7.436 g cm⁻³
Symmetry = I-4m2, No. 119
ΔH_f (0 K) = -0.62 eV per atom
Uncorrected energy = -21.00 eV per formula unit
Total magnetization = 0.00 μB per atom
V = 128.8 Å³/f.u.